[1]
Y2Nb2Tc: optimized geometry, PBE-GGA.

The space-group type is P4/mbm (127). The total magnetization is 0.00 μB/f.u. The total energy is -8.5897 eV/atom. The formation energy comes out at 47 kJ/mol of formula units. For the density of states at the Fermi level, the calculation gives 9.8 states/eV per cell.

a b c (Å): 6.6118 6.6118 5.2171
angles (deg): 90.00 90.00 90.00
Atoms (fractional coordinates):
Y1 0.1718 0.3282 0.0000
Y2 0.3282 0.8282 0.0000
Y3 0.6718 0.1718 0.0000
Y4 0.8282 0.6718 0.0000
Nb1 0.1450 0.6450 0.5000
Nb2 0.3550 0.1450 0.5000
Nb3 0.6450 0.8550 0.5000
Nb4 0.8550 0.3550 0.5000
Tc1 0.0000 0.0000 0.5000
Tc2 0.5000 0.5000 0.5000



[2]
YNb2Tc2: optimized geometry, PBE-GGA.

The space-group type is I4/mmm (139). The total magnetization is 0.00 μB/f.u. As for the energy relative to the lowest polymorph listed for this composition: 0 meV per atom. The total energy is -9.4771 eV/atom. The formation energy comes out at -5 kJ/mol of formula units. For the density of states at the Fermi level, the calculation gives 13.9 states/eV per cell.

a b c (Å): 4.3664 4.3664 10.8235
angles (deg): 90.00 90.00 90.00
Atoms (fractional coordinates):
Y1 0.0000 0.0000 0.0000
Y2 0.5000 0.5000 0.5000
Nb1 0.0000 0.5000 0.2500
Nb2 0.0000 0.5000 0.7500
Nb3 0.5000 0.0000 0.2500
Nb4 0.5000 0.0000 0.7500
Tc1 0.0000 0.0000 0.3837
Tc2 0.0000 0.0000 0.6163
Tc3 0.5000 0.5000 0.1163
Tc4 0.5000 0.5000 0.8837



[3]
YZrNbTc2: optimized geometry, PBE-GGA.

The space-group type is P4/mmm (123). The total magnetization is 0.00 μB/f.u. As for the energy relative to the lowest polymorph listed for this composition: 0 meV per atom. The total energy is -8.0229 eV/atom. The formation energy comes out at 550 kJ/mol of formula units. For the density of states at the Fermi level, the calculation gives 7.3 states/eV per cell.

a b c (Å): 4.7847 4.7847 5.0281
angles (deg): 90.00 90.00 90.00
Atoms (fractional coordinates):
Y1 0.0000 0.0000 0.0000
Zr1 0.5000 0.5000 0.0000
Nb1 0.0000 0.0000 0.5000
Tc1 0.0000 0.5000 0.5000
Tc2 0.5000 0.0000 0.5000



Number 1: calculated density 6.7 Mg/m³. Number 2: calculated density 7.6 Mg/m³. Number 3: calculated density 6.8 Mg/m³.